(1)
This record from the Alexandria database describes crystalline KSrTlBi at its relaxed geometry. The functional is PBE. Values from VASP.

The value obtained for the calculated total energy is -10.6 eV for the cell shown. As for the symmetry: F-43m, No. 216. Its crystal system is cubic. The value obtained for the formation energy from the elements is -0.39 eV/atom. As for the mass density: 6.14 g/cm³.

```
&SYSTEM
  ibrav = 0, nat = 4, ntyp = 4
/
ATOMIC_SPECIES
Tl 204.38 Tl.upf
Bi 208.98 Bi.upf
K 39.10 K.upf
Sr 87.62 Sr.upf
CELL_PARAMETERS angstrom
-3.341 -3.013 -3.833
2.518 -2.770 -4.574
0.230 -5.904 -0.116
ATOMIC_POSITIONS crystal
Tl 0.000 0.000 0.000
Bi 0.500 0.500 0.500
K 0.750 0.750 0.750
Sr 0.250 0.250 0.250
```


(2)
This record from the Alexandria database describes crystalline KSrTl4Bi2 at its relaxed geometry. The functional is PBE. Values from VASP.

The value obtained for the calculated total energy is -22.0 eV for the cell shown. As for the symmetry: P4/mmm, No. 123. Its crystal system is tetragonal. The value obtained for the formation energy from the elements is -0.25 eV/atom. As for the mass density: 7.40 g/cm³.

```
&SYSTEM
  ibrav = 0, nat = 8, ntyp = 4
/
ATOMIC_SPECIES
Sr 87.62 Sr.upf
Bi 208.98 Bi.upf
Tl 204.38 Tl.upf
K 39.10 K.upf
CELL_PARAMETERS angstrom
-0.390 4.676 0.526
-2.265 -0.649 4.092
11.972 0.249 6.668
ATOMIC_POSITIONS crystal
Sr 0.000 0.000 0.500
Bi 0.500 0.500 0.381
Bi 0.500 0.500 0.619
Tl 0.500 0.000 0.784
Tl 0.500 0.000 0.216
Tl 0.000 0.500 0.784
Tl 0.000 0.500 0.216
K 0.000 0.000 0.000
```


(3)
This record from the Alexandria database describes crystalline K2SrTlBi2 at its relaxed geometry. The functional is PBE. Values from VASP.

The value obtained for the calculated total energy is -33.6 eV for the cell shown. As for the symmetry: Pmc2_1, No. 26. Its crystal system is orthorhombic. The value obtained for the formation energy from the elements is -0.47 eV/atom. As for the mass density: 5.61 g/cm³.

```
&SYSTEM
  ibrav = 0, nat = 12, ntyp = 4
/
ATOMIC_SPECIES
K 39.10 K.upf
Sr 87.62 Sr.upf
Bi 208.98 Bi.upf
Tl 204.38 Tl.upf
CELL_PARAMETERS angstrom
5.688 0.000 0.000
0.000 8.320 0.000
0.000 0.000 9.856
ATOMIC_POSITIONS crystal
K 0.000 0.828 0.845
K 0.500 0.009 0.079
K 0.500 0.509 0.921
K 0.000 0.328 0.155
Sr 0.000 0.015 0.477
Sr 0.000 0.515 0.523
Bi 0.000 0.752 0.204
Bi 0.000 0.252 0.796
Bi 0.500 0.779 0.623
Bi 0.500 0.279 0.377
Tl 0.500 0.162 0.690
Tl 0.500 0.662 0.310
```